1.
The following is a DFT calculation (PBE) of a geometry-optimized NaPO2 structure.

Fermi-level density of states in states/eV/atom: 0.193
Energy in eV per atom: -5.179
ΔE_f (raw) in eV/atom: -1.0181

Cell: 4.814 4.814 10.149 Å, 90.00 90.00 90.00°
Space group I-42d (No. 122)
Unique sites:
Na 0.000 0.000 0.000 [4 per cell]
P 0.000 0.000 0.500 [4 per cell]
O 0.159 0.250 0.625 [8 per cell]

***

2.
The following is a DFT calculation (PBE) of a geometry-optimized Na5P3O10 structure.

Fermi-level density of states in states/eV/atom: 0.000
Energy in eV per atom: -6.255
ΔE_f (raw) in eV/atom: -2.2328

Cell: 16.311 5.286 11.341 Å, 90.00 93.53 90.00°
Space group C2/c (No. 15)
Unique sites:
Na 0.042 0.236 0.462 [8 per cell]
Na 0.160 0.229 0.206 [8 per cell]
Na 0.250 0.250 0.500 [4 per cell]
P 0.000 0.192 0.750 [4 per cell]
P 0.147 0.303 0.900 [8 per cell]
O 0.038 0.043 0.653 [8 per cell]
O 0.066 0.393 0.806 [8 per cell]
O 0.121 0.410 0.018 [8 per cell]
O 0.152 0.016 0.893 [8 per cell]
O 0.218 0.448 0.850 [8 per cell]

***

3.
The following is a DFT calculation (PBE) of a geometry-optimized Na2PO3 structure.

Distance to the lowest polymorph of the same formula in meV per atom: 0
Fermi-level density of states in states/eV/atom: 0.109
Energy in eV per atom: -5.664
ΔE_f (raw) in eV/atom: -1.8435

Cell: 3.466 10.868 11.012 Å, 90.00 98.38 90.00°
Space group P2_1/c (No. 14)
Unique sites:
Na 0.006 0.249 0.025 [4 per cell]
Na 0.115 0.027 0.758 [4 per cell]
P 0.434 0.736 0.239 [4 per cell]
O 0.345 0.120 0.206 [4 per cell]
O 0.423 0.215 0.879 [4 per cell]
O 0.439 0.661 0.838 [4 per cell]

***

4.
The following is a DFT calculation (PBE) of a geometry-optimized NaP2O2 structure.

Distance to the lowest polymorph of the same formula in meV per atom: 0
Fermi-level density of states in states/eV/atom: 0.575
Energy in eV per atom: -4.783
ΔE_f (raw) in eV/atom: -0.3723

Cell: 3.575 3.575 4.840 Å, 90.00 90.00 90.00°
Space group P4/mmm (No. 123)
Unique sites:
Na 0.000 0.000 0.000 [1 per cell]
P 0.500 0.500 0.000 [1 per cell]
P 0.500 0.500 0.500 [1 per cell]
O 0.000 0.500 0.500 [2 per cell]

***

5.
The following is a DFT calculation (PBE) of a geometry-optimized NaPO2 structure.

Fermi-level density of states in states/eV/atom: 0.000
Energy in eV per atom: -5.767
ΔE_f (raw) in eV/atom: -1.6059

Cell: 2.836 3.839 5.001 Å, 92.96 106.38 90.00°
Space group P1 (No. 1)
Unique sites:
Na 0.000 0.000 0.000 [1 per cell]
P 0.739 0.505 0.481 [1 per cell]
O 0.260 0.230 0.522 [1 per cell]
O 0.580 0.531 0.160 [1 per cell]

***

6.
The following is a DFT calculation (PBE) of a geometry-optimized NaPaPO5 structure.

Fermi-level density of states in states/eV/atom: 0.046
Energy in eV per atom: -7.825
ΔE_f (raw) in eV/atom: -2.6976

Cell: 7.647 9.095 8.008 Å, 90.00 115.61 90.00°
Space group C2/c (No. 15)
Unique sites:
Na 0.000 0.165 0.250 [4 per cell]
Pa 0.000 0.500 0.000 [4 per cell]
P 0.000 0.163 0.750 [4 per cell]
O 0.000 0.412 0.250 [4 per cell]
O 0.064 0.262 0.627 [8 per cell]
O 0.169 0.060 0.874 [8 per cell]

***

7.
The following is a DFT calculation (PBE) of a geometry-optimized NaPaPO6 structure.

Fermi-level density of states in states/eV/atom: 0.729
Energy in eV per atom: -7.348
ΔE_f (raw) in eV/atom: -2.2397

Cell: 5.2776 5.2776 5.1212 Å, 90.00 90.00 120.00°
Space group P312 (No. 149)
Unique sites:
Na 0.0000 0.0000 0.0000 [1 per cell]
Pa 0.3333 0.6667 0.5000 [1 per cell]
P 0.6667 0.3333 0.5000 [1 per cell]
O 0.4019 0.0623 0.6931 [6 per cell]

***

8.
The following is a DFT calculation (PBE) of a geometry-optimized Na2PaPO6 structure.

Fermi-level density of states in states/eV/atom: 0.000
Energy in eV per atom: -7.189
ΔE_f (raw) in eV/atom: -2.4596

Cell: 5.356 5.356 4.483 Å, 90.00 90.00 90.00°
Space group P4mm (No. 99)
Unique sites:
Na 0.000 0.500 0.000 [2 per cell]
Pa 0.000 0.000 0.552 [1 per cell]
P 0.500 0.500 0.483 [1 per cell]
O 0.000 0.000 0.063 [1 per cell]
O 0.283 0.283 0.580 [4 per cell]
O 0.500 0.500 0.141 [1 per cell]

***

9.
The following is a DFT calculation (PBE) of a geometry-optimized NaP2PbO structure.

Distance to the lowest polymorph of the same formula in meV per atom: 361
Fermi-level density of states in states/eV/atom: 0.960
Energy in eV per atom: -3.305
ΔE_f (raw) in eV/atom: 0.8557

Cell: 5.349 5.349 4.405 Å, 90.00 90.00 90.00°
Space group P4/mmm (No. 123)
Unique sites:
Na 0.000 0.000 0.000 [1 per cell]
P 0.000 0.500 0.000 [2 per cell]
Pb 0.500 0.500 0.500 [1 per cell]
O 0.000 0.000 0.500 [1 per cell]

***

10.
The following is a DFT calculation (PBE) of a geometry-optimized Na2P2PbO7 structure.

Distance to the lowest polymorph of the same formula in meV per atom: 66
Fermi-level density of states in states/eV/atom: 0.000
Energy in eV per atom: -6.375
ΔE_f (raw) in eV/atom: -2.0525

Cell: 5.6253 5.6253 21.7303 Å, 90.00 90.00 120.00°
Space group R32 (No. 155, hexagonal axes)
Unique sites:
Na 0.0000 0.0000 0.2325 [6 per cell]
P 0.0000 0.0000 0.4257 [6 per cell]
Pb 0.0000 0.0000 0.0000 [3 per cell]
O 0.0000 0.0000 0.5000 [3 per cell]
O 0.0218 0.2736 0.5928 [18 per cell]

***

11.
The following is a DFT calculation (PBE) of a geometry-optimized Na3P6Pb2O18 structure.

Distance to the lowest polymorph of the same formula in meV per atom: 498
Fermi-level density of states in states/eV/atom: 0.205
Energy in eV per atom: -6.139
ΔE_f (raw) in eV/atom: -1.5503

Cell: 6.675 7.580 9.581 Å, 73.46 87.95 85.22°
Space group P-1 (No. 2)
Unique sites:
Na 0.000 0.000 0.000 [1 per cell]
Na 0.366 0.308 0.362 [2 per cell]
P 0.063 0.254 0.638 [2 per cell]
P 0.368 0.777 0.307 [2 per cell]
P 0.411 0.015 0.801 [2 per cell]
Pb 0.310 0.389 0.925 [2 per cell]
O 0.001 0.716 0.888 [2 per cell]
O 0.047 0.257 0.245 [2 per cell]
O 0.108 0.373 0.738 [2 per cell]
O 0.141 0.865 0.266 [2 per cell]
O 0.235 0.065 0.681 [2 per cell]
O 0.318 0.067 0.935 [2 per cell]
O 0.402 0.731 0.468 [2 per cell]
O 0.409 0.620 0.234 [2 per cell]
O 0.492 0.816 0.823 [2 per cell]

***

12.
The following is a DFT calculation (PBE) of a geometry-optimized Na3P6Pb2O18 structure.

Distance to the lowest polymorph of the same formula in meV per atom: 0
Energy in eV per atom: -6.637
ΔE_f (raw) in eV/atom: -2.0482

Cell: 7.882 8.079 8.164 Å, 103.66 97.62 116.57°
Space group P-1 (No. 2)
Unique sites:
Na 0.000 0.000 0.000 [1 per cell]
Na 0.137 0.451 0.350 [2 per cell]
P 0.133 0.325 0.734 [2 per cell]
P 0.268 0.716 0.981 [2 per cell]
P 0.497 0.661 0.743 [2 per cell]
Pb 0.339 0.980 0.622 [2 per cell]
O 0.002 0.333 0.587 [2 per cell]
O 0.088 0.134 0.758 [2 per cell]
O 0.151 0.780 0.877 [2 per cell]
O 0.158 0.478 0.919 [2 per cell]
O 0.294 0.290 0.230 [2 per cell]
O 0.323 0.791 0.178 [2 per cell]
O 0.360 0.429 0.717 [2 per cell]
O 0.401 0.705 0.598 [2 per cell]
O 0.474 0.768 0.927 [2 per cell]

***

Which formula does entry 5 have?
NaPO2

***

What is the formula in the fifth record?
NaPO2